{
  "formula": "SrCa2P",
  "functional": "meta-GGA SCAN",
  "state": "PBEsol geometry",
  "lattice": [[-2.308, 2.308, 5.405], [2.308, -2.308, 5.405], [2.308, 2.308, -5.405]],
  "species": ["Sr", "Ca", "Ca", "P"],
  "frac_coords": [[0.000, 0.000, 0.000], [0.250, 0.750, 0.500], [0.750, 0.250, 0.500], [0.500, 0.500, 0.000]],
  "spacegroup": "I4/mmm",
  "m_tot_mub_per_atom": 0.00,
  "rho_g_cm3": 2.9,
  "total_energy_ev_per_fu": -53.022
}

---

{
  "formula": "Hf2MnIN",
  "functional": "meta-GGA SCAN",
  "state": "PBEsol geometry",
  "lattice": [[4.204, 0.000, 0.000], [0.000, 4.204, 0.000], [0.000, 0.000, 5.439]],
  "species": ["Hf", "Hf", "Mn", "I", "N"],
  "frac_coords": [[0.000, 0.500, 0.000], [0.500, 0.000, 0.000], [0.000, 0.000, 0.500], [0.500, 0.500, 0.500], [0.500, 0.500, 0.000]],
  "spacegroup": "P4/mmm",
  "m_tot_mub_per_atom": 0.60,
  "rho_g_cm3": 9.6,
  "total_energy_ev_per_fu": -189.697,
  "raw_formation_energy_ev_per_atom": -0.013
}

---

{
  "formula": "ReNi",
  "functional": "meta-GGA SCAN",
  "state": "PBEsol geometry",
  "lattice": [[4.571, 0.000, 0.000], [0.000, 4.192, 0.000], [0.000, 0.000, 5.211]],
  "species": ["Re", "Re", "Re", "Re", "Ni", "Ni", "Ni", "Ni"],
  "frac_coords": [[0.086, 0.250, 0.125], [0.414, 0.750, 0.625], [0.586, 0.250, 0.375], [0.914, 0.750, 0.875], [0.075, 0.250, 0.621], [0.425, 0.750, 0.121], [0.575, 0.250, 0.879], [0.925, 0.750, 0.379]],
  "spacegroup": "Pnma",
  "m_tot_mub_per_atom": 0.00,
  "rho_g_cm3": 16.3,
  "total_energy_ev_per_fu": -87.358
}

---

{
  "formula": "Ta2OsPt",
  "functional": "meta-GGA SCAN",
  "state": "PBEsol geometry",
  "lattice": [[2.853, 0.000, 0.000], [0.000, 2.853, 0.000], [0.000, 0.000, 7.787]],
  "species": ["Ta", "Ta", "Os", "Pt"],
  "frac_coords": [[0.000, 0.000, 0.239], [0.000, 0.000, 0.761], [0.500, 0.500, 0.000], [0.500, 0.500, 0.500]],
  "spacegroup": "P4/mmm",
  "m_tot_mub_per_atom": 0.00,
  "rho_g_cm3": 19.6,
  "total_energy_ev_per_fu": -277.369
}

---

{
  "formula": "CsCo2AgBi",
  "functional": "meta-GGA SCAN",
  "state": "PBEsol geometry",
  "lattice": [[4.650, 0.000, 0.000], [0.000, 4.650, 0.000], [0.000, 0.000, 6.285]],
  "species": ["Cs", "Co", "Co", "Ag", "Bi"],
  "frac_coords": [[0.000, 0.000, 0.000], [0.000, 0.500, 0.000], [0.500, 0.000, 0.000], [0.500, 0.500, 0.500], [0.000, 0.000, 0.500]],
  "spacegroup": "P4/mmm",
  "m_tot_mub_per_atom": 0.57,
  "rho_g_cm3": 6.9,
  "total_energy_ev_per_fu": -171.400
}

---

{
  "formula": "Li3Rh",
  "functional": "meta-GGA SCAN",
  "state": "PBEsol geometry",
  "lattice": [[-1.315, 4.371, 2.373], [1.315, -4.371, 2.373], [1.315, 4.371, -2.373]],
  "species": ["Li", "Li", "Li", "Rh"],
  "frac_coords": [[0.000, 0.000, 0.000], [0.076, 0.318, 0.758], [0.561, 0.318, 0.242], [0.505, 0.005, 0.500]],
  "spacegroup": "Imm2",
  "m_tot_mub_per_atom": 0.13,
  "rho_g_cm3": 3.8,
  "total_energy_ev_per_fu": -41.401
}

---

Repeat the sixth record exactly.
{
  "formula": "Li3Rh",
  "functional": "meta-GGA SCAN",
  "state": "PBEsol geometry",
  "lattice": [[-1.315, 4.371, 2.373], [1.315, -4.371, 2.373], [1.315, 4.371, -2.373]],
  "species": ["Li", "Li", "Li", "Rh"],
  "frac_coords": [[0.000, 0.000, 0.000], [0.076, 0.318, 0.758], [0.561, 0.318, 0.242], [0.505, 0.005, 0.500]],
  "spacegroup": "Imm2",
  "m_tot_mub_per_atom": 0.13,
  "rho_g_cm3": 3.8,
  "total_energy_ev_per_fu": -41.401
}

---

Please write out number 6 again, unchanged.
{
  "formula": "Li3Rh",
  "functional": "meta-GGA SCAN",
  "state": "PBEsol geometry",
  "lattice": [[-1.315, 4.371, 2.373], [1.315, -4.371, 2.373], [1.315, 4.371, -2.373]],
  "species": ["Li", "Li", "Li", "Rh"],
  "frac_coords": [[0.000, 0.000, 0.000], [0.076, 0.318, 0.758], [0.561, 0.318, 0.242], [0.505, 0.005, 0.500]],
  "spacegroup": "Imm2",
  "m_tot_mub_per_atom": 0.13,
  "rho_g_cm3": 3.8,
  "total_energy_ev_per_fu": -41.401
}